[1]
VASP calculation (GGA-PBE) on a relaxed NdHoEr2Tm4 crystal.

The structure belongs to space group C2/c (No. 15); the cell edges are 13.458, 13.213 and 6.730 Å and the angles 90.00°, 120.00° and 90.00°. The inequivalent atoms are Nd at (0.250, 0.250, 0.000), Ho at (0.000, 0.000, 0.000), Er at (0.000, 0.500, 0.000), Er at (0.250, 0.250, 0.500), Tm at (0.000, 0.251, 0.001) and Tm at (0.250, 0.002, 0.502).

As for the crystal system: monoclinic. The energy of formation from the pure elements comes out at 10.4 kcal/mol of atoms. The value obtained for the density is 8.46 g/cm3.



[2]
VASP calculation (GGA-PBE) on a relaxed Li5La3H12 crystal.

The structure belongs to space group Ia-3d (No. 230); the cell edges are 12.493, 12.493 and 12.493 Å and the angles 90.00°, 90.00° and 90.00°. The inequivalent atoms are Li at (0.000, 0.000, 0.000), Li at (0.000, 0.250, 0.375), La at (0.000, 0.250, 0.125) and H at (0.029, 0.058, 0.652).

As for the crystal system: cubic. The value obtained for the density is 3.16 g/cm3.



[3]
VASP calculation (GGA-PBE) on a relaxed Ac12Ir2Pt5 crystal.

The structure belongs to space group C2/m (No. 12); the cell edges are 15.984, 8.537 and 10.558 Å and the angles 90.00°, 106.04° and 90.00°. The inequivalent atoms are Ac at (0.042, 0.000, 0.332), Ac at (0.058, 0.500, 0.333), Ac at (0.131, 0.252, 0.012), Ac at (0.186, 0.242, 0.651), Ir at (0.000, 0.254, 0.500), Pt at (0.000, 0.500, 0.000), Pt at (0.218, 0.000, 0.888) and Pt at (0.243, 0.000, 0.485).

As for the crystal system: monoclinic. The energy of formation from the pure elements comes out at -17.8 kcal/mol of atoms. The value obtained for the density is 9.79 g/cm3.



[4]
VASP calculation (GGA-PBE) on a relaxed LaTe2Os crystal.

The structure belongs to space group R-3m (No. 166, hexagonal axes); the cell edges are 4.3980, 4.3980 and 18.0794 Å and the angles 90.00°, 90.00° and 120.00°. The inequivalent atoms are La at (0.0000, 0.0000, 0.0000), Te at (0.0000, 0.0000, 0.2271) and Os at (0.0000, 0.0000, 0.5000).

As for the crystal system: trigonal. For the formation energy from raw total energies, the calculation gives -376 meV per atom. The value obtained for the density is 9.61 g/cm3.



[5]
VASP calculation (GGA-PBE) on a relaxed Zr2HgGe crystal.

The structure belongs to space group I-42d (No. 122); the cell edges are 7.629, 7.629 and 6.070 Å and the angles 90.00°, 90.00° and 90.00°. The inequivalent atoms are Zr at (0.233, 0.750, 0.125), Hg at (0.000, 0.000, 0.500) and Ge at (0.000, 0.000, 0.000).

As for the crystal system: tetragonal. The energy of formation from the pure elements comes out at -3.7 kcal/mol of atoms. The value obtained for the density is 8.57 g/cm3.



[6]
VASP calculation (GGA-PBE) on a relaxed ScMnRe2 crystal.

The structure belongs to space group R-3m (No. 166, hexagonal axes); the cell edges are 2.8097, 2.8097 and 26.7386 Å and the angles 90.00°, 90.00° and 120.00°. The inequivalent atoms are Sc at (0.0000, 0.0000, 0.0000), Mn at (0.0000, 0.0000, 0.5000) and Re at (0.0000, 0.0000, 0.2419).

As for the crystal system: trigonal. The energy of formation from the pure elements comes out at 5.2 kcal/mol of atoms. The value obtained for the density is 12.87 g/cm3.



[7]
VASP calculation (GGA-PBE) on a relaxed Na2Al2Tl crystal.

The structure belongs to space group P4/mbm (No. 127); the cell edges are 9.258, 9.258 and 3.073 Å and the angles 90.00°, 90.00° and 90.00°. The inequivalent atoms are Na at (0.190, 0.310, 0.000), Al at (0.102, 0.602, 0.500) and Tl at (0.000, 0.000, 0.000).

As for the crystal system: tetragonal. The energy of formation from the pure elements comes out at 5.3 kcal/mol of atoms. The value obtained for the density is 3.84 g/cm3.



[8]
VASP calculation (GGA-PBE) on a relaxed HfMgBr2 crystal.

The structure belongs to space group Fm-3m (No. 225); the cell edges are 6.962, 6.962 and 6.962 Å and the angles 90.00°, 90.00° and 90.00°. The inequivalent atoms are Hf at (0.000, 0.000, 0.000), Mg at (0.000, 0.000, 0.500) and Br at (0.250, 0.250, 0.250).

As for the crystal system: cubic. For the formation energy from raw total energies, the calculation gives 15 meV per atom. The value obtained for the density is 7.14 g/cm3.



[9]
VASP calculation (GGA-PBE) on a relaxed TbPm6SmTm2 crystal.

The structure belongs to space group C2/c (No. 15); the cell edges are 9.249, 15.197 and 9.634 Å and the angles 90.00°, 97.45° and 90.00°. The inequivalent atoms are Tb at (0.000, 0.030, 0.250), Pm at (0.064, 0.176, 0.945), Pm at (0.097, 0.391, 0.119), Pm at (0.212, 0.225, 0.317), Sm at (0.000, 0.408, 0.750) and Tm at (0.247, 0.049, 0.547).

As for the crystal system: monoclinic. The energy of formation from the pure elements comes out at 2.7 kcal/mol of atoms. The value obtained for the density is 7.51 g/cm3.



[10]
VASP calculation (GGA-PBE) on a relaxed TiMnGa3 crystal.

The structure belongs to space group Pmmn (No. 59, origin choice 2); the cell edges are 4.066, 6.086 and 6.511 Å and the angles 90.00°, 90.00° and 90.00°. The inequivalent atoms are Ti at (0.250, 0.250, 0.201), Mn at (0.250, 0.750, 0.074), Ga at (0.250, 0.038, 0.791) and Ga at (0.250, 0.750, 0.463).

As for the crystal system: orthorhombic. The energy of formation from the pure elements comes out at -2.2 kcal/mol of atoms. The value obtained for the density is 6.43 g/cm3.



[11]
VASP calculation (GGA-PBE) on a relaxed Mg2CdPt crystal.

The structure belongs to space group P4/mmm (No. 123); the cell edges are 4.481, 4.481 and 3.586 Å and the angles 90.00°, 90.00° and 90.00°. The inequivalent atoms are Mg at (0.000, 0.500, 0.000), Cd at (0.000, 0.000, 0.500) and Pt at (0.500, 0.500, 0.500).

As for the crystal system: tetragonal. The energy of formation from the pure elements comes out at -10.7 kcal/mol of atoms. The value obtained for the density is 8.21 g/cm3.



[12]
VASP calculation (GGA-PBE) on a relaxed Ca2AlAs crystal.

The structure belongs to space group I-42d (No. 122); the cell edges are 8.160, 8.160 and 6.800 Å and the angles 90.00°, 90.00° and 90.00°. The inequivalent atoms are Ca at (0.218, 0.750, 0.125), Al at (0.000, 0.000, 0.500) and As at (0.000, 0.000, 0.000).

As for the crystal system: tetragonal. The energy of formation from the pure elements comes out at -6.7 kcal/mol of atoms. The value obtained for the density is 2.67 g/cm3.



Results for E_tot: -4.10 -3.66 -5.89 -5.99 -5.66 -9.87 -2.27 -3.71 -4.56 -5.33 -3.00 -3.39 (in eV/atom, following the order of the records).